Entry 1:
The following is a PBE-GGA calculation of a geometry-optimized Pm12Pr5Pa3 structure, from Alexandria.

The structure in POSCAR format:
```
Pm12Pr5Pa3
1.0
-14.343 -6.142 2.745
10.021 -11.587 -4.038
5.255 7.202 13.095
Pm Pr Pa
48 20 12
Direct
0.836 0.937 0.072
0.135 0.399 0.063
0.899 0.836 0.764
0.101 0.164 0.236
0.072 0.635 0.736
0.736 0.601 0.164
0.865 0.601 0.937
0.572 0.336 0.937
0.836 0.899 0.264
0.437 0.072 0.336
0.937 0.101 0.865
0.264 0.865 0.928
0.664 0.236 0.601
0.437 0.365 0.601
0.399 0.264 0.336
0.072 0.437 0.836
0.264 0.399 0.836
0.865 0.264 0.428
0.601 0.736 0.664
0.664 0.428 0.563
0.928 0.563 0.164
0.236 0.664 0.101
0.101 0.937 0.365
0.928 0.365 0.264
0.365 0.437 0.101
0.563 0.635 0.399
0.764 0.428 0.365
0.063 0.164 0.428
0.236 0.572 0.635
0.899 0.063 0.635
0.063 0.899 0.135
0.336 0.572 0.437
0.399 0.135 0.563
0.336 0.764 0.399
0.736 0.135 0.072
0.428 0.664 0.063
0.365 0.928 0.764
0.572 0.236 0.135
0.601 0.865 0.437
0.135 0.736 0.572
0.937 0.836 0.572
0.164 0.063 0.928
0.764 0.336 0.899
0.563 0.928 0.664
0.164 0.101 0.736
0.428 0.764 0.865
0.635 0.563 0.899
0.635 0.072 0.236
0.125 0.375 0.250
0.500 0.500 0.000
0.500 0.000 0.000
0.875 0.250 0.625
0.625 0.750 0.875
0.125 0.750 0.375
0.000 0.500 0.000
0.875 0.625 0.750
0.000 0.000 0.000
0.250 0.875 0.125
0.625 0.875 0.250
0.250 0.375 0.625
0.750 0.125 0.875
0.000 0.000 0.500
0.500 0.000 0.500
0.375 0.250 0.125
0.500 0.500 0.500
0.375 0.125 0.750
0.750 0.625 0.375
0.000 0.500 0.500
0.375 0.750 0.625
0.625 0.375 0.750
0.375 0.625 0.250
0.125 0.250 0.875
0.875 0.125 0.250
0.625 0.250 0.375
0.250 0.125 0.375
0.750 0.375 0.125
0.875 0.750 0.125
0.750 0.875 0.625
0.250 0.625 0.875
0.125 0.875 0.750
```

Values from the calculation:
formation energy: 1.0655 eV/atom
space-group type: Ia-3d, No. 230

---

Entry 2:
The following is a PBE-GGA calculation of a geometry-optimized PmPr2Pa structure, from Alexandria.

The structure in POSCAR format:
```
PmPr2Pa
1.0
3.478 0.000 0.000
0.000 3.478 0.000
0.000 0.000 10.678
Pr Pm Pa
2 1 1
Direct
0.000 0.000 0.772
0.000 0.000 0.228
0.500 0.500 0.500
0.500 0.500 0.000
```

Values from the calculation:
formation energy: 0.1738 eV/atom
space-group type: P4/mmm, No. 123

---

Entry 3:
The following is a PBE-GGA calculation of a geometry-optimized PmPr2Pa structure, from Alexandria.

The structure in POSCAR format:
```
PmPr2Pa
1.0
3.412 0.000 0.000
1.706 2.955 0.000
1.706 0.985 12.666
Pr Pa Pm
2 1 1
Direct
0.085 0.085 0.744
0.915 0.915 0.256
0.000 0.000 0.000
0.500 0.500 0.500
```

Values from the calculation:
formation energy: 0.3380 eV/atom
space-group type: R-3m, No. 166

---

Entry 4:
The following is a PBE-GGA calculation of a geometry-optimized Pm2PrPa structure, from Alexandria.

The structure in POSCAR format:
```
Pm2PrPa
1.0
-1.848 -1.600 4.402
-2.893 -3.328 -2.424
3.679 -3.419 0.302
Pm Pr Pa
2 1 1
Direct
0.000 0.000 0.500
0.000 0.500 0.000
0.500 0.000 0.000
0.500 0.500 0.500
```

Values from the calculation:
formation energy: 0.2801 eV/atom
space-group type: P4/mmm, No. 123

---

Entry 5:
The following is a PBE-GGA calculation of a geometry-optimized PmPr2Pa2Rh5 structure, from Alexandria.

The structure in POSCAR format:
```
PmPr2Pa2Rh5
1.0
3.650 0.000 0.000
0.000 11.088 0.000
0.000 0.000 11.088
Pr Rh Pa Pm
4 10 4 2
Direct
0.000 0.827 0.673
0.000 0.673 0.173
0.000 0.173 0.327
0.000 0.327 0.827
0.500 0.710 0.450
0.500 0.290 0.550
0.500 0.050 0.790
0.500 0.450 0.290
0.500 0.210 0.050
0.500 0.500 0.000
0.500 0.550 0.710
0.500 0.950 0.210
0.500 0.790 0.950
0.500 0.000 0.500
0.000 0.366 0.134
0.000 0.134 0.634
0.000 0.866 0.366
0.000 0.634 0.866
0.000 0.500 0.500
0.000 0.000 0.000
```

Values from the calculation:
formation energy: -0.6231 eV/atom
space-group type: P4/mbm, No. 127

---

Entry 6:
The following is a PBE-GGA calculation of a geometry-optimized PmPr2PaRu2 structure, from Alexandria.

The structure in POSCAR format:
```
PmPr2PaRu2
1.0
6.895 0.000 0.000
0.000 7.113 0.000
-3.448 -3.556 6.787
Pr Pm Ru Pa
4 2 4 2
Direct
0.695 0.909 0.390
0.805 0.519 0.610
0.305 0.091 0.610
0.195 0.481 0.390
0.750 0.000 0.000
0.250 0.000 0.000
0.093 0.800 0.187
0.407 0.613 0.813
0.593 0.387 0.187
0.907 0.200 0.813
0.750 0.500 0.000
0.250 0.500 0.000
```

Values from the calculation:
formation energy: -0.2632 eV/atom
space-group type: Ibam, No. 72

---

Entry 7:
The following is a PBE-GGA calculation of a geometry-optimized PmPr2Pa2Ru5 structure, from Alexandria.

The structure in POSCAR format:
```
PmPr2Pa2Ru5
1.0
-1.610 2.124 -2.900
-7.215 -7.657 -1.605
-6.504 4.657 7.020
Ru Pr Pa Pm
10 4 4 2
Direct
0.500 0.723 0.430
0.500 0.223 0.070
0.500 0.277 0.570
0.500 0.570 0.723
0.500 0.930 0.223
0.500 0.777 0.930
0.500 0.000 0.500
0.500 0.070 0.777
0.500 0.430 0.277
0.500 0.500 0.000
0.000 0.823 0.677
0.000 0.323 0.823
0.000 0.677 0.177
0.000 0.177 0.323
0.000 0.875 0.375
0.000 0.125 0.625
0.000 0.625 0.875
0.000 0.375 0.125
0.000 0.500 0.500
0.000 0.000 0.000
```

Values from the calculation:
formation energy: -0.2367 eV/atom
space-group type: P4/mbm, No. 127

---

Entry 8:
The following is a PBE-GGA calculation of a geometry-optimized Pm2PrPaSb5 structure, from Alexandria.

The structure in POSCAR format:
```
Pm2PrPaSb5
1.0
-1.444 5.203 -0.806
-5.253 -1.368 0.584
0.770 2.021 11.666
Sb Pa Pr Pm
5 1 1 2
Direct
0.000 0.000 0.749
0.500 0.000 0.500
0.000 0.000 0.251
0.000 0.500 0.500
0.500 0.500 0.000
0.000 0.000 0.500
0.000 0.000 0.000
0.500 0.500 0.270
0.500 0.500 0.730
```

Values from the calculation:
raw formation energy: -0.202 eV/atom
space-group type: P4/mmm, No. 123

---

Entry 9:
The following is a PBE-GGA calculation of a geometry-optimized Pm2PrPaSb4 structure, from Alexandria.

The structure in POSCAR format:
```
Pm2PrPaSb4
1.0
4.469 0.000 0.000
0.000 7.756 0.152
0.000 -2.705 7.258
Sb Pr Pm Pa
4 1 2 1
Direct
0.000 0.743 0.245
0.500 0.257 0.249
0.000 0.257 0.755
0.500 0.743 0.751
0.000 0.000 0.000
0.000 0.500 0.500
0.500 0.000 0.500
0.500 0.500 0.000
```

Values from the calculation:
raw formation energy: -1.002 eV/atom
space-group type: P2/m, No. 10

---

Entry 10:
The following is a PBE-GGA calculation of a geometry-optimized PmPr2PaSb4 structure, from Alexandria.

The structure in POSCAR format:
```
PmPr2PaSb4
1.0
4.484 0.000 0.000
0.000 7.770 0.146
0.000 -2.713 7.299
Sb Pr Pm Pa
4 2 1 1
Direct
0.500 0.747 0.758
0.000 0.257 0.760
0.000 0.743 0.240
0.500 0.253 0.242
0.000 0.500 0.500
0.500 0.000 0.500
0.000 0.000 0.000
0.500 0.500 0.000
```

Values from the calculation:
raw formation energy: -1.007 eV/atom
space-group type: P2/m, No. 10

---

Entry 11:
The following is a PBE-GGA calculation of a geometry-optimized Pm2PrPaSe4 structure, from Alexandria.

The structure in POSCAR format:
```
Pm2PrPaSe4
1.0
-3.791 0.354 -1.654
-0.220 -7.179 -1.032
-2.716 1.538 6.552
Se Pm Pa Pr
4 2 1 1
Direct
0.000 0.257 0.753
0.500 0.257 0.251
0.500 0.743 0.749
0.000 0.743 0.247
0.000 0.500 0.500
0.500 0.000 0.500
0.500 0.500 0.000
0.000 0.000 0.000
```

Values from the calculation:
raw formation energy: -1.656 eV/atom
space-group type: P2/m, No. 10

---

Entry 12:
The following is a PBE-GGA calculation of a geometry-optimized PmPaPt2 structure, from Alexandria.

The structure in POSCAR format:
```
PmPaPt2
1.0
-0.311 1.784 -3.576
-2.933 -1.058 -2.519
-5.348 5.246 0.835
Pm Pt Pa
1 2 1
Direct
0.497 0.497 0.509
0.077 0.077 0.769
0.257 0.257 0.228
0.668 0.668 0.995
```

Values from the calculation:
formation energy: -0.9732 eV/atom
space-group type: R3m, No. 160